! Li4CrNi3P4O16 | Alexandria | PBE+U | optimized geometry; values from VASP
! Calculated total energy = -6.4839 eV/atom
! Space-group type = Pm
&SYSTEM
  ibrav = 0, nat = 28, ntyp = 5
/
ATOMIC_SPECIES
Li 6.94 Li.upf
Cr 52.00 Cr.upf
Ni 58.69 Ni.upf
P 30.97 P.upf
O 16.00 O.upf
CELL_PARAMETERS angstrom
4.741 0.000 0.000
0.000 6.030 0.000
-0.115 0.000 10.173
ATOMIC_POSITIONS crystal
Li 0.000 0.247 0.000
Li 0.000 0.753 0.000
Li 0.485 0.249 0.504
Li 0.485 0.751 0.504
Cr 0.531 0.500 0.222
Ni 0.009 0.000 0.281
Ni 0.474 0.000 0.776
Ni 0.972 0.500 0.725
P 0.071 0.500 0.411
P 0.414 0.500 0.904
P 0.582 0.000 0.094
P 0.906 0.000 0.597
O 0.190 0.500 0.554
O 0.203 0.292 0.342
O 0.203 0.708 0.342
O 0.230 0.000 0.602
O 0.258 0.000 0.101
O 0.272 0.295 0.835
O 0.272 0.705 0.835
O 0.301 0.500 0.048
O 0.694 0.000 0.951
O 0.727 0.201 0.165
O 0.727 0.799 0.165
O 0.738 0.500 0.900
O 0.745 0.500 0.404
O 0.768 0.205 0.668
O 0.768 0.795 0.668
O 0.784 0.000 0.454